1.
VASP calculation (PBE) on an optimized crystal structure of ThTcGe2Os.

a b c (Å): 4.3368 4.3368 9.9978
angles (deg): 90.00 90.00 90.00
Space group I-4m2 (No. 119)
Inequivalent atoms, fractional coordinates:
Th  0.0000  0.0000  0.0000
Tc  0.0000  0.5000  0.2500
Ge  0.0000  0.0000  0.3702
Os  0.0000  0.5000  0.7500

Computed properties:
Energy relative to the elements   -43.7 kJ per mole of atoms
Crystal system   tetragonal


2.
VASP calculation (PBE) on an optimized crystal structure of Rb2MnReI6.

a b c (Å): 11.4409 11.4409 11.4409
angles (deg): 90.00 90.00 90.00
Space group Fm-3m (No. 225)
Inequivalent atoms, fractional coordinates:
Rb  0.2500  0.2500  0.2500
Mn  0.0000  0.0000  0.0000
Re  0.0000  0.0000  0.5000
I  0.0000  0.0000  0.2559

Computed properties:
Crystal system   cubic
E_form (uncorrected)   -396 meV per atom


3.
VASP calculation (PBE) on an optimized crystal structure of LiHf3Sc2N6.

a b c (Å): 13.8276 3.1976 6.4018
angles (deg): 90.00 103.13 90.00
Space group C2/m (No. 12)
Inequivalent atoms, fractional coordinates:
Li  0.0000  0.0000  0.0000
Hf  0.0000  0.0000  0.5000
Hf  0.1608  0.5000  0.8386
Sc  0.1640  0.5000  0.3279
N  0.0015  0.5000  0.7343
N  0.1654  0.0000  0.5883
N  0.1708  0.0000  0.0815

Computed properties:
Crystal system   monoclinic
E_form (uncorrected)   -1750 meV per atom


4.
VASP calculation (PBE) on an optimized crystal structure of Ba6TlCd.

a b c (Å): 8.3950 14.4028 8.2972
angles (deg): 90.00 113.72 90.00
Space group C2/m (No. 12)
Inequivalent atoms, fractional coordinates:
Ba  0.2481  0.0000  0.2507
Ba  0.2504  0.1843  0.7514
Tl  0.0000  0.5000  0.0000
Cd  0.0000  0.0000  0.5000

Computed properties:
Energy relative to the elements   -7.4 kJ per mole of atoms
Crystal system   monoclinic


Number 1: total magnetic moment 0.0 Bohr magnetons per cell. Number 2: total magnetic moment 28.4 Bohr magnetons per cell. Number 3: total magnetic moment 0.0 Bohr magnetons per cell. Number 4: total magnetic moment 0.1 Bohr magnetons per cell.